Compound: Sm3DySc2Te6
Source: Alexandria
Functional: GGA-PBE
Structure: relaxed

The uncorrected formation energy is -1.27 eV/atom. For the calculated density, the calculation gives 7.04 Mg/m³.

The structure belongs to space group C2/m (No. 12); the cell edges are 18.972, 4.309 and 8.741 Å and the angles 90.00°, 104.09° and 90.00°. The distinct sites, in fractional coordinates, are Sm at (0.000, 0.000, 0.000), Sm at (0.162, 0.500, 0.328), Dy at (0.000, 0.000, 0.500), Sc at (0.166, 0.500, 0.832), Te at (0.007, 0.500, 0.749), Te at (0.167, 0.000, 0.596) and Te at (0.172, 0.000, 0.070).